(1)
Computed, not measured: an optimized crystal structure of Zr2Ag at the GGA-PBEsol level of DFT.

a b c (Å): 5.5847 5.5847 5.5847
angles (deg): 60.00 60.00 60.00
Atoms (fractional coordinates):
Ag: 0.7500 0.7500 0.7500
Ag: 0.5000 0.5000 0.5000
Zr: 0.1250 0.1250 0.6250
Zr: 0.1250 0.6250 0.1250
Zr: 0.1250 0.1250 0.1250
Zr: 0.6250 0.1250 0.1250

- total energy (eV per atom) = -6.7838
- energy of formation from the pure elements (eV per atom) = 0.380
- calculated density (g/cm3) = 7.828
- symmetry = Fd-3m

---

(2)
Computed, not measured: an optimized crystal structure of MnTlNF2 at the GGA-PBEsol level of DFT.

a b c (Å): 4.1837 4.3946 4.3946
angles (deg): 90.00 90.00 90.00
Atoms (fractional coordinates):
N: 0.5000 0.0000 0.0000
Tl: 0.0000 0.0000 0.0000
Mn: 0.5000 0.5000 0.5000
F: 0.0000 0.0000 0.5000
F: 0.0000 0.5000 0.0000

- raw formation energy (kcal/mol of atoms) = -0.23
- total energy (eV per atom) = -4.9647
- calculated density (g/cm3) = 6.398
- symmetry = P4/mmm

---

(3)
Computed, not measured: an optimized crystal structure of Na2CuSn2 at the GGA-PBEsol level of DFT.

a b c (Å): 5.1505 6.8101 6.8101
angles (deg): 90.00 90.00 90.00
Atoms (fractional coordinates):
Na: 0.5000 0.1678 0.6678
Na: 0.5000 0.6678 0.8322
Na: 0.5000 0.8322 0.3322
Na: 0.5000 0.3322 0.1678
Sn: 0.0000 0.3501 0.8501
Sn: 0.0000 0.8501 0.6499
Sn: 0.0000 0.6499 0.1499
Sn: 0.0000 0.1499 0.3501
Cu: 0.0000 0.0000 0.0000
Cu: 0.0000 0.5000 0.5000

- total energy (eV per atom) = -3.2043
- energy of formation from the pure elements (eV per atom) = -0.074
- calculated density (g/cm3) = 4.824
- symmetry = P4/mbm

---

(4)
Computed, not measured: an optimized crystal structure of CaZr2Cl at the GGA-PBEsol level of DFT.

a b c (Å): 5.0625 5.0625 5.0625
angles (deg): 60.00 60.00 60.00
Atoms (fractional coordinates):
Ca: 0.0000 0.0000 0.0000
Zr: 0.2500 0.2500 0.2500
Zr: 0.7500 0.7500 0.7500
Cl: 0.5000 0.5000 0.5000

- raw formation energy (kcal/mol of atoms) = 14.85
- energy above the most stable polymorph in this dataset (eV/atom) = 0.691
- total energy (eV per atom) = -4.9361
- calculated density (g/cm3) = 4.669
- symmetry = Fm-3m